a:
The following is a PBE calculation of crystalline SbPCl2 at its relaxed geometry, from Alexandria.

POSCAR file:
```
SbPCl2
1.0
1.901 0.000 9.630
-0.951 1.646 9.630
-0.951 -1.646 9.630
Sb P Cl
1 1 2
Direct
0.000 0.000 0.000
0.500 0.500 0.500
0.909 0.909 0.909
0.091 0.091 0.091
```

=====

b:
The following is a PBE calculation of crystalline SbPCl2 at its relaxed geometry, from Alexandria.

POSCAR file:
```
SbPCl2
1.0
1.901 0.000 9.571
-0.950 1.646 9.571
-0.950 -1.646 9.571
Sb P Cl
1 1 2
Direct
0.500 0.500 0.500
0.000 0.000 0.000
0.920 0.920 0.920
0.080 0.080 0.080
```

=====

c:
The following is a PBE calculation of crystalline SbPCl2 at its relaxed geometry, from Alexandria.

POSCAR file:
```
SbPCl2
1.0
-9.072 1.508 -1.958
-9.133 -1.707 -1.441
-9.334 0.351 1.075
Cl P Sb
2 1 1
Direct
0.998 0.998 0.998
0.502 0.502 0.502
0.250 0.250 0.250
0.750 0.750 0.750
```

=====

Which is the most stable structure? b is the most stable.

=====

a:
The following is a PBE calculation of crystalline Sb2PCl at its relaxed geometry, from Alexandria.

POSCAR file:
```
Sb2PCl
1.0
-3.199 1.153 0.660
1.843 -1.408 2.574
3.887 9.428 2.375
Cl P Sb
1 1 2
Direct
0.000 0.000 0.471
0.500 0.500 0.793
0.000 0.000 0.964
0.500 0.500 0.272
```

=====

b:
The following is a PBE calculation of crystalline Sb2PCl at its relaxed geometry, from Alexandria.

POSCAR file:
```
Sb2PCl
1.0
6.499 -0.109 -0.024
-6.036 5.803 0.051
1.476 -0.144 2.698
Cl P Sb
1 1 2
Direct
0.500 0.500 0.000
0.500 0.000 0.500
0.000 0.000 0.000
0.000 0.500 0.500
```

=====

c:
The following is a PBE calculation of crystalline Sb2PCl at its relaxed geometry, from Alexandria.

POSCAR file:
```
Sb2PCl
1.0
6.124 0.057 0.136
4.966 3.583 0.136
1.559 0.512 6.789
Cl P Sb
1 1 2
Direct
0.494 0.494 0.447
0.257 0.257 0.067
0.036 0.036 0.150
0.713 0.713 0.836
```

=====

d:
The following is a PBE calculation of crystalline Sb2PCl at its relaxed geometry, from Alexandria.

POSCAR file:
```
Sb2PCl
1.0
5.676 -0.009 -0.008
0.672 5.636 0.008
-1.859 -4.297 3.209
Cl P Sb
1 1 2
Direct
0.750 0.250 0.500
0.250 0.750 0.500
0.027 0.027 0.000
0.473 0.473 0.000
```

=====

Which is the most stable structure? c is the most stable.